Computed, not measured: TiH after structural relaxation at the PBE-GGA level of DFT.

a = 4.740 Å, b = 4.747 Å, c = 6.795 Å
α = 90.00°, β = 90.00°, γ = 90.00°
Sites, in units of the cell vectors:
Ti: 0.245 0.003 0.252
Ti: 0.248 0.506 0.503
Ti: 0.252 0.494 0.003
Ti: 0.255 0.997 0.752
Ti: 0.745 0.497 0.748
Ti: 0.748 0.994 0.497
Ti: 0.752 0.006 0.997
Ti: 0.755 0.503 0.248
H: 0.129 0.380 0.754
H: 0.133 0.876 0.004
H: 0.367 0.124 0.504
H: 0.371 0.620 0.254
H: 0.629 0.120 0.246
H: 0.633 0.624 0.996
H: 0.867 0.376 0.496
H: 0.871 0.880 0.746

Calculated values
* E_tot: -5.962 eV/atom
* magnetization: 0.00 μB per cell
* mass density: 4.25 Mg/m³
* symmetry: No. 19